Zn3Cu2: optimized geometry, GGA-PBEsol.

Results
Magnetic moment: 0.0 Bohr magnetons per cell
Raw total energy: -2.744 eV/atom
DOS at the Fermi energy: 0.20 states/eV per atom
Formation energy: -0.304 eV/f.u.
Theoretical density: 8.5 Mg/m³

a = 4.7202 Å, b = 4.9487 Å, c = 6.5941 Å
α = 99.83°, β = 110.97°, γ = 61.52°
Atoms (fractional coordinates):
Cu1 0.0487 0.0536 0.4022
Cu2 0.7001 0.9464 0.5978
Cu3 0.3523 0.4464 0.9022
Zn1 0.5144 0.5909 0.2975
Zn2 0.8078 0.4091 0.7025
Cu4 0.8965 0.5536 0.0978
Zn3 0.3554 0.9091 0.7975
Zn4 0.1790 0.5000 0.5000
Zn5 0.9290 0.0000 0.0000
Zn6 0.4669 0.0909 0.2025